MoWS2Cl | PBE | relaxed

## Properties
Theoretical density in g/cm3: 6.0
Distance to the lowest polymorph of the same formula in meV/atom: 309.6
Formation energy from raw total energies in eV per formula unit: 4.98
Calculated total energy in eV/atom: -5.78
N(E_F) in states/eV/f.u.: 2.27

Unit cell a=4.7360 b=4.7360 c=4.7050 alpha=90.00 beta=90.00 gamma=90.00
Closest atoms and distances in Å follow each position.
Space group P4/mmm (No. 123)
One atom of each set of equivalent atoms:
Mo (0.0000, 0.0000, 0.0000) (multiplicity 1)  2 Cl 2.35, 4 S 2.37
W (0.5000, 0.5000, 0.5000) (multiplicity 1)  8 S 3.34, 4 Cl 3.35
S (0.0000, 0.5000, 0.0000) (multiplicity 2)  2 Mo 2.37
Cl (0.0000, 0.0000, 0.5000) (multiplicity 1)  2 Mo 2.35